Entry a
Li3CoP GGA-PBE optimized geometry; mass density = 2.1 g/cm3; symmetry = Pm-3m; calculated volume = 17.362 A^3/atom
1.0
4.4278 0.0000 0.0000
0.0000 4.4278 0.0000
0.0000 0.0000 4.4278
Li Co P
3 1 1
Direct
0.0000 0.0000 0.5000
0.0000 0.5000 0.0000
0.5000 0.0000 0.0000
0.0000 0.0000 0.0000
0.5000 0.5000 0.5000

---

Entry b
Li3CoP GGA-PBE optimized geometry; mass density = 1.9 g/cm3; symmetry = Pm-3m; calculated volume = 19.353 A^3/atom
1.0
4.5910 0.0000 0.0000
0.0000 4.5910 0.0000
0.0000 0.0000 4.5910
Li Co P
3 1 1
Direct
0.0000 0.0000 0.5000
0.0000 0.5000 0.0000
0.5000 0.0000 0.0000
0.5000 0.5000 0.5000
0.0000 0.0000 0.0000

---

Of them, the most stable is entry b and the least stable is entry a.

---

Entry a
LiCo3P GGA-PBE optimized geometry; mass density = 6.2 g/cm3; symmetry = Pm-3m; calculated volume = 11.505 A^3/atom
1.0
3.8603 0.0000 0.0000
0.0000 3.8603 0.0000
0.0000 0.0000 3.8603
Li Co P
1 3 1
Direct
0.0000 0.0000 0.0000
0.0000 0.0000 0.5000
0.0000 0.5000 0.0000
0.5000 0.0000 0.0000
0.5000 0.5000 0.5000

---

Entry b
LiCo3P GGA-PBE optimized geometry; mass density = 4.9 g/cm3; symmetry = Pm-3m; calculated volume = 14.410 A^3/atom
1.0
4.1611 0.0000 0.0000
0.0000 4.1611 0.0000
0.0000 0.0000 4.1611
Li Co P
1 3 1
Direct
0.0000 0.0000 0.0000
0.0000 0.5000 0.5000
0.5000 0.0000 0.5000
0.5000 0.5000 0.0000
0.5000 0.5000 0.5000

---

Of them, the most stable is entry b and the least stable is entry a.

---

Entry a
LiCoPS2 GGA-PBE optimized geometry; mass density = 3.4 g/cm3; symmetry = P4/mmm; calculated volume = 15.506 A^3/atom
1.0
4.3313 0.0000 0.0000
0.0000 4.3313 0.0000
0.0000 0.0000 4.1327
Li Co P S
1 1 1 2
Direct
0.0000 0.0000 0.0000
0.5000 0.5000 0.5000
0.0000 0.0000 0.5000
0.0000 0.5000 0.0000
0.5000 0.0000 0.0000

---

Entry b
LiCoPS2 GGA-PBE optimized geometry; mass density = 2.9 g/cm3; symmetry = P4/mmm; calculated volume = 18.133 A^3/atom
1.0
4.7020 0.0000 0.0000
0.0000 4.7020 0.0000
0.0000 0.0000 4.1009
Li Co P S
1 1 1 2
Direct
0.0000 0.0000 0.0000
0.5000 0.5000 0.5000
0.5000 0.5000 0.0000
0.0000 0.5000 0.5000
0.5000 0.0000 0.5000

---

Of them, the most stable is entry b and the least stable is entry a.

---

Entry a
LiCoP2S GGA-PBE optimized geometry; mass density = 2.9 g/cm3; symmetry = P4/mmm; calculated volume = 18.259 A^3/atom
1.0
4.1793 0.0000 0.0000
0.0000 4.1793 0.0000
0.0000 0.0000 5.2268
Li Co P S
1 1 2 1
Direct
0.0000 0.0000 0.0000
0.5000 0.5000 0.5000
0.0000 0.5000 0.5000
0.5000 0.0000 0.5000
0.5000 0.5000 0.0000

---

Entry b
LiCoP2S GGA-PBE optimized geometry; mass density = 3.4 g/cm3; symmetry = P4/mmm; calculated volume = 15.784 A^3/atom
1.0
4.2138 0.0000 0.0000
0.0000 4.2138 0.0000
0.0000 0.0000 4.4448
Li Co P S
1 1 2 1
Direct
0.0000 0.0000 0.0000
0.5000 0.5000 0.5000
0.0000 0.5000 0.0000
0.5000 0.0000 0.0000
0.0000 0.0000 0.5000

---

Of them, the most stable is entry a and the least stable is entry b.

---

Entry a
LiCoTcP2 GGA-PBE optimized geometry; mass density = 5.3 g/cm3; symmetry = I-4m2; calculated volume = 14.100 A^3/atom
1.0
3.9074 0.0000 0.0000
0.0000 3.9074 0.0000
0.0000 0.0000 9.2354
Li Co Tc P
2 2 2 4
Direct
0.0000 0.0000 0.0000
0.5000 0.5000 0.5000
0.0000 0.5000 0.7500
0.5000 0.0000 0.2500
0.0000 0.5000 0.2500
0.5000 0.0000 0.7500
0.0000 0.0000 0.3772
0.0000 0.0000 0.6228
0.5000 0.5000 0.1228
0.5000 0.5000 0.8772

---

Entry b
LiCoTcP2 GGA-PBE optimized geometry; mass density = 5.2 g/cm3; symmetry = P4/mmm; calculated volume = 14.336 A^3/atom
1.0
4.2612 0.0000 0.0000
0.0000 4.2612 0.0000
0.0000 0.0000 3.9476
Li Co Tc P
1 1 1 2
Direct
0.0000 0.0000 0.0000
0.0000 0.0000 0.5000
0.5000 0.5000 0.0000
0.0000 0.5000 0.5000
0.5000 0.0000 0.5000

---

Of them, the most stable is entry a and the least stable is entry b.

---

Entry a
LiCo2Pb2 GGA-PBE optimized geometry; mass density = 9.0 g/cm3; symmetry = I4/mmm; calculated volume = 19.876 A^3/atom
1.0
5.0343 0.0000 0.0000
0.0000 5.0343 0.0000
0.0000 0.0000 7.8423
Li Co Pb
2 4 4
Direct
0.0000 0.0000 0.0000
0.5000 0.5000 0.5000
0.0000 0.0000 0.3623
0.0000 0.0000 0.6377
0.5000 0.5000 0.1377
0.5000 0.5000 0.8623
0.0000 0.5000 0.2500
0.0000 0.5000 0.7500
0.5000 0.0000 0.2500
0.5000 0.0000 0.7500

---

Entry b
LiCo2Pb2 GGA-PBE optimized geometry; mass density = 10.2 g/cm3; symmetry = P4/mbm; calculated volume = 17.473 A^3/atom
1.0
7.2548 0.0000 0.0000
0.0000 7.2548 0.0000
0.0000 0.0000 3.3199
Li Co Pb
2 4 4
Direct
0.0000 0.0000 0.0000
0.5000 0.5000 0.0000
0.1270 0.3730 0.0000
0.3730 0.8730 0.0000
0.6270 0.1270 0.0000
0.8730 0.6270 0.0000
0.1702 0.6702 0.5000
0.3298 0.1702 0.5000
0.6702 0.8298 0.5000
0.8298 0.3298 0.5000

---

Entry c
LiCo2Pb2 GGA-PBE optimized geometry; mass density = 9.0 g/cm3; symmetry = I4/mmm; calculated volume = 19.805 A^3/atom
1.0
3.3722 0.0000 0.0000
0.0000 3.3722 0.0000
0.0000 0.0000 17.4154
Li Co Pb
2 4 4
Direct
0.0000 0.0000 0.0000
0.5000 0.5000 0.5000
0.0000 0.5000 0.2500
0.0000 0.5000 0.7500
0.5000 0.0000 0.2500
0.5000 0.0000 0.7500
0.0000 0.0000 0.3804
0.0000 0.0000 0.6196
0.5000 0.5000 0.1196
0.5000 0.5000 0.8804

---

Of them, the most stable is entry c and the least stable is entry a.